Material: CaZnCl2
Method: DFT, PBE
State: relaxed

POSCAR file:
```
CaZnCl2
1.0
2.339 0.000 8.257
-1.170 2.026 8.257
-1.170 -2.026 8.257
Zn Ca Cl
1 1 2
Direct
0.500 0.500 0.500
0.000 0.000 0.000
0.891 0.891 0.891
0.109 0.109 0.109
```

Properties
E_form (uncorrected)	-0.734	eV/atom
raw total energy	-9.9	eV per cell
density of states at the Fermi level	0.907	states/eV/atom